Density functional theory data (PBE) for crystalline PmY3Tl at its relaxed geometry.

POSCAR file:
```
PmY3Tl
1.0
2.446 -12.708 0.000
2.446 12.708 0.000
0.000 0.000 4.878
Pm Y Tl
2 6 2
Cartesian
2.446 8.917 3.659
2.446 -8.917 1.220
2.446 11.477 1.220
2.446 6.345 1.220
2.446 1.336 1.220
2.446 -1.336 3.659
2.446 -6.345 3.659
2.446 -11.477 3.659
2.446 3.896 3.659
2.446 -3.896 1.220
```

## Properties
- total magnetization (μB/f.u.) = 0.8
- E_tot (eV per atom) = -5.425
- formation enthalpy at 0 K (kJ per mole of atoms) = -11.9
- relative energy among the computed polymorphs (meV per atom) = 0
- V (Å³ per cell) = 303